Entry 1:
Entry from Alexandria via LeMat-Bulk: crystalline TlCdHg2 at its relaxed geometry (PBE). Values from VASP.

Quantum ESPRESSO input file:
```
&SYSTEM
  ibrav = 0, nat = 4, ntyp = 3
/
ATOMIC_SPECIES
Tl 204.38 Tl.upf
Hg 200.59 Hg.upf
Cd 112.41 Cd.upf
CELL_PARAMETERS angstrom
5.9194 -0.2732 0.1748
4.7351 3.5626 0.1748
1.3669 0.4220 4.9053
ATOMIC_POSITIONS angstrom
Tl 6.0430 1.8657 2.6760
Hg 10.6335 3.2829 0.4247
Hg 8.9699 2.7693 3.9208
Cd 3.0401 0.9386 1.2108
```

- DFT total energy: -0.97 eV per atom
- Energy of formation from the pure elements: 0.0046 eV per atom
- Calculated volume: 108.8 Å³/cell
- E above lowest polymorph: 0.05 eV per formula unit

=====

Entry 2:
Entry from Alexandria via LeMat-Bulk: crystalline Tl2CdHg9 at its relaxed geometry (PBE). Values from VASP.

Quantum ESPRESSO input file:
```
&SYSTEM
  ibrav = 0, nat = 12, ntyp = 3
/
ATOMIC_SPECIES
Tl 204.38 Tl.upf
Cd 112.41 Cd.upf
Hg 200.59 Hg.upf
CELL_PARAMETERS angstrom
-2.7871 0.9439 4.4924
-1.0026 -5.2551 0.4822
9.5688 -1.2566 6.2005
ATOMIC_POSITIONS angstrom
Tl 3.0802 -0.4045 1.9959
Tl 6.4886 -0.8521 4.2045
Cd 0.0000 0.0000 0.0000
Hg -1.8948 -2.1556 2.4873
Hg 1.2718 -2.5715 4.5392
Hg 4.5074 -2.9964 6.6358
Hg 0.0960 0.2763 3.2114
Hg 3.3909 -0.1564 5.3464
Hg 6.6857 -0.5891 7.4815
Hg 0.9882 -2.8232 1.2062
Hg 4.2831 -3.2559 3.3413
Hg 7.5781 -3.6886 5.4764
```

- DFT total energy: -0.70 eV per atom
- Energy of formation from the pure elements: -0.0053 eV per atom
- Calculated volume: 330.9 Å³/cell

=====

Entry 3:
Entry from Alexandria via LeMat-Bulk: crystalline TlCd2Hg at its relaxed geometry (PBE). Values from VASP.

Quantum ESPRESSO input file:
```
&SYSTEM
  ibrav = 0, nat = 4, ntyp = 3
/
ATOMIC_SPECIES
Tl 204.38 Tl.upf
Hg 200.59 Hg.upf
Cd 112.41 Cd.upf
CELL_PARAMETERS angstrom
5.2796 0.0000 0.0000
2.6398 4.5723 0.0000
2.6398 1.5241 4.3108
ATOMIC_POSITIONS angstrom
Tl 2.6398 1.5241 1.0777
Hg 5.2796 3.0482 2.1554
Cd 0.0000 0.0000 0.0000
Cd 7.9194 4.5723 3.2331
```

- DFT total energy: -1.08 eV per atom
- Energy of formation from the pure elements: 0.0466 eV per atom
- Calculated volume: 104.1 Å³/cell
- E above lowest polymorph: 0.11 eV per formula unit

=====

no.,density of states at the Fermi level (states/eV per cell)
1,1.025
2,4.185
3,1.471